# 1
Sr4CdGaHg2: relaxed, PBE.

Calculated values
Total magnetic moment, μB/f.u.: 0.0
Fermi-level density of states, states/eV per cell: 5.52
Energy of formation from the pure elements, eV/atom: -0.44
Total DFT energy (no corrections), eV/cell: -14.80

```
Sr4CdGaHg2
1.0
2.825 1.631 9.268
-2.825 1.631 9.268
0.000 -3.261 9.268
Sr Cd Ga Hg
4 1 1 2
Cartesian
0.000 0.000 3.398
0.000 0.000 10.356
0.000 0.000 17.448
0.000 0.000 24.406
0.000 0.000 13.902
0.000 0.000 0.000
0.000 0.000 6.924
0.000 0.000 20.880
```

---

# 2
CsKCr2I8: relaxed, PBE.

Calculated values
Total magnetic moment, μB/f.u.: 6.0
Fermi-level density of states, states/eV per cell: 11.97
Total DFT energy (no corrections), eV/cell: -41.30
Formation energy (no corrections), kcal/mol of atoms: -14.790

```
CsKCr2I8
1.0
3.893 2.247 11.081
-3.893 2.247 11.081
0.000 -4.495 11.081
Cs K Cr I
1 1 2 8
Cartesian
0.000 0.000 0.000
0.000 0.000 16.622
0.000 0.000 8.442
0.000 0.000 24.802
-1.430 -2.566 14.454
-2.937 -0.044 18.789
0.000 0.000 11.003
-1.507 2.522 14.454
1.507 -2.522 18.789
0.000 0.000 22.240
2.937 0.044 14.454
1.430 2.566 18.789
```

---

# 3
BeRe2Hg: relaxed, PBE.

Calculated values
Total magnetic moment, μB/f.u.: 0.0
Fermi-level density of states, states/eV per cell: 2.12
Energy of formation from the pure elements, eV/atom: 0.25
Total DFT energy (no corrections), eV/cell: -27.93
E above lowest polymorph, meV/atom: 0.0

```
BeRe2Hg
1.0
2.980 0.000 0.000
0.000 2.980 0.000
0.000 0.000 6.821
Be Re Hg
1 2 1
Cartesian
0.000 0.000 0.000
0.000 0.000 4.049
1.490 1.490 5.567
1.490 1.490 1.820
```

---

# 4
Ac3La3Pm4: relaxed, PBE.

Calculated values
Total magnetic moment, μB/f.u.: 0.0
Fermi-level density of states, states/eV per cell: 12.82
Energy of formation from the pure elements, eV/atom: 0.08
Total DFT energy (no corrections), eV/cell: -45.35

```
Ac3La3Pm4
1.0
3.859 0.000 0.000
0.000 7.065 7.155
0.000 -7.065 7.155
Ac La Pm
3 3 4
Cartesian
0.000 0.000 0.000
1.929 -3.539 8.251
1.929 3.539 8.251
0.000 -2.470 4.705
0.000 2.470 4.705
0.000 0.000 9.291
1.929 0.000 2.992
1.929 0.000 6.457
1.929 -1.751 11.723
1.929 1.751 11.723
```

---

# 5
Hf3Pd2Au3: relaxed, PBE.

Calculated values
Total magnetic moment, μB/f.u.: 0.0
Fermi-level density of states, states/eV per cell: 4.63
Energy of formation from the pure elements, eV/atom: -0.60
Total DFT energy (no corrections), eV/cell: -54.88

```
Hf3Pd2Au3
1.0
7.171 0.000 0.000
-3.586 6.211 0.000
0.000 0.000 3.374
Hf Pd Au
3 2 3
Cartesian
-1.437 2.489 0.000
2.874 0.000 0.000
2.149 3.722 0.000
0.000 4.140 1.687
3.586 2.070 1.687
-2.737 4.741 1.687
0.848 1.469 1.687
5.475 0.000 1.687
```

---

# 6
Ba2As2I: relaxed, PBE.

Calculated values
Total magnetic moment, μB/f.u.: 1.0
Fermi-level density of states, states/eV per cell: 6.72
Total DFT energy (no corrections), eV/cell: -39.68
E above lowest polymorph, meV/atom: 164.1
Formation energy (no corrections), kcal/mol of atoms: -23.732

```
Ba2As2I
1.0
6.183 0.000 0.000
0.000 6.183 0.000
0.000 0.000 9.917
Ba As I
4 4 2
Cartesian
0.000 3.091 2.479
0.000 3.091 7.438
3.091 0.000 2.479
3.091 0.000 7.438
0.000 0.000 1.193
0.000 0.000 8.724
3.091 3.091 3.765
3.091 3.091 6.152
0.000 0.000 4.959
3.091 3.091 0.000
```

---

# 7
ReTcSb4: relaxed, PBE.

Calculated values
Total magnetic moment, μB/f.u.: 3.9
Fermi-level density of states, states/eV per cell: 5.15
Total DFT energy (no corrections), eV/cell: -29.58
Formation energy (no corrections), kcal/mol of atoms: 37.383

```
ReTcSb4
1.0
0.000 4.172 4.172
4.172 0.000 4.172
4.172 4.172 0.000
Re Tc Sb
1 1 4
Cartesian
0.000 0.000 0.000
2.086 2.086 2.086
5.216 3.127 3.127
3.127 5.216 3.127
3.127 3.127 5.216
5.216 5.216 5.216
```

---

# 8
InSi2Ag2: relaxed, PBE.

Calculated values
Total magnetic moment, μB/f.u.: 0.0
Fermi-level density of states, states/eV per cell: 5.56
Total DFT energy (no corrections), eV/cell: -35.22
Formation energy (no corrections), kcal/mol of atoms: 7.731

```
InSi2Ag2
1.0
8.239 0.000 0.000
0.000 8.239 0.000
0.000 0.000 2.821
In Si Ag
2 4 4
Cartesian
0.000 0.000 0.000
4.119 4.119 0.000
0.910 3.209 0.000
3.209 7.328 0.000
5.030 0.910 0.000
7.328 5.030 0.000
1.520 5.639 1.411
2.600 1.520 1.411
5.639 6.719 1.411
6.719 2.600 1.411
```

---

- Which of these has the lowest Fermi-level density of states?
  BeRe2Hg